First-principles (PBE) data for BePbW after structural relaxation, as listed in OQMD via LeMat-Bulk.

Geometry as CIF:
```
data_BePbW
_cell_length_a 4.459
_cell_length_b 4.459
_cell_length_c 4.459
_cell_angle_alpha 60.00
_cell_angle_beta 60.00
_cell_angle_gamma 60.00
_space_group_name_H-M_alt 'P 1'
_space_group_IT_number 1
_space_group_name_Hall 'P 1'
loop_
_atom_site_label
_atom_site_type_symbol
_atom_site_fract_x
_atom_site_fract_y
_atom_site_fract_z
Be1 Be 0.000 0.000 0.000
Pb1 Pb 0.250 0.250 0.250
W1 W 0.500 0.500 0.500
```

Output
**Energy above the lowest structure with this stoichiometry**: 0.316 eV/atom
**Calculated volume**: 20.893 Å³/atom

---

First-principles (PBE) data for BePbW after structural relaxation, as listed in OQMD via LeMat-Bulk.

Geometry as CIF:
```
data_BePbW
_cell_length_a 4.467
_cell_length_b 4.467
_cell_length_c 4.467
_cell_angle_alpha 60.00
_cell_angle_beta 60.00
_cell_angle_gamma 60.00
_space_group_name_H-M_alt 'P 1'
_space_group_IT_number 1
_space_group_name_Hall 'P 1'
loop_
_atom_site_label
_atom_site_type_symbol
_atom_site_fract_x
_atom_site_fract_y
_atom_site_fract_z
Be1 Be 0.000 0.000 0.000
Pb1 Pb 0.500 0.500 0.500
W1 W 0.250 0.250 0.250
```

Output
**Energy above the lowest structure with this stoichiometry**: 0.000 eV/atom
**Calculated volume**: 21.011 Å³/atom

---

First-principles (PBE) data for Be2ZnPb after structural relaxation, as listed in OQMD via LeMat-Bulk.

Geometry as CIF:
```
data_Be2ZnPb
_cell_length_a 4.578
_cell_length_b 4.578
_cell_length_c 4.578
_cell_angle_alpha 60.00
_cell_angle_beta 60.00
_cell_angle_gamma 60.00
_space_group_name_H-M_alt 'P 1'
_space_group_IT_number 1
_space_group_name_Hall 'P 1'
loop_
_atom_site_label
_atom_site_type_symbol
_atom_site_fract_x
_atom_site_fract_y
_atom_site_fract_z
Be1 Be 0.000 0.000 0.000
Be2 Be 0.250 0.250 0.250
Zn1 Zn 0.750 0.750 0.750
Pb1 Pb 0.500 0.500 0.500
```

Output
**Total DFT energy (no corrections)**: -9.18 eV/cell
**Calculated volume**: 16.959 Å³/atom

---

First-principles (PBE) data for BeZn2Pb after structural relaxation, as listed in OQMD via LeMat-Bulk.

Geometry as CIF:
```
data_BeZn2Pb
_cell_length_a 4.706
_cell_length_b 4.706
_cell_length_c 4.706
_cell_angle_alpha 60.00
_cell_angle_beta 60.00
_cell_angle_gamma 60.00
_space_group_name_H-M_alt 'P 1'
_space_group_IT_number 1
_space_group_name_Hall 'P 1'
loop_
_atom_site_label
_atom_site_type_symbol
_atom_site_fract_x
_atom_site_fract_y
_atom_site_fract_z
Be1 Be 0.000 0.000 0.000
Zn1 Zn 0.500 0.500 0.500
Zn2 Zn 0.750 0.750 0.750
Pb1 Pb 0.250 0.250 0.250
```

Output
**Total DFT energy (no corrections)**: -7.87 eV/cell
**Calculated volume**: 18.430 Å³/atom

---

First-principles (PBE) data for BeZn2Pb after structural relaxation, as listed in OQMD via LeMat-Bulk.

Geometry as CIF:
```
data_BeZn2Pb
_cell_length_a 4.707
_cell_length_b 4.707
_cell_length_c 4.707
_cell_angle_alpha 60.00
_cell_angle_beta 60.00
_cell_angle_gamma 60.00
_space_group_name_H-M_alt 'P 1'
_space_group_IT_number 1
_space_group_name_Hall 'P 1'
loop_
_atom_site_label
_atom_site_type_symbol
_atom_site_fract_x
_atom_site_fract_y
_atom_site_fract_z
Be1 Be 0.000 0.000 0.000
Zn1 Zn 0.250 0.250 0.250
Zn2 Zn 0.500 0.500 0.500
Pb1 Pb 0.750 0.750 0.750
```

Output
**Total DFT energy (no corrections)**: -7.87 eV/cell
**Calculated volume**: 18.432 Å³/atom

---

First-principles (PBE) data for ZrBePb after structural relaxation, as listed in OQMD via LeMat-Bulk.

Geometry as CIF:
```
data_ZrBePb
_cell_length_a 4.600
_cell_length_b 4.600
_cell_length_c 4.600
_cell_angle_alpha 60.00
_cell_angle_beta 60.00
_cell_angle_gamma 60.00
_space_group_name_H-M_alt 'P 1'
_space_group_IT_number 1
_space_group_name_Hall 'P 1'
loop_
_atom_site_label
_atom_site_type_symbol
_atom_site_fract_x
_atom_site_fract_y
_atom_site_fract_z
Zr1 Zr 0.000 0.000 0.000
Be1 Be 0.500 0.500 0.500
Pb1 Pb 0.750 0.750 0.750
```

Output
**Energy above the lowest structure with this stoichiometry**: 0.070 eV/atom
**Calculated volume**: 22.946 Å³/atom

---

First-principles (PBE) data for Zr2BePb after structural relaxation, as listed in OQMD via LeMat-Bulk.

Geometry as CIF:
```
data_Zr2BePb
_cell_length_a 4.890
_cell_length_b 4.890
_cell_length_c 4.890
_cell_angle_alpha 60.00
_cell_angle_beta 60.00
_cell_angle_gamma 60.00
_space_group_name_H-M_alt 'P 1'
_space_group_IT_number 1
_space_group_name_Hall 'P 1'
loop_
_atom_site_label
_atom_site_type_symbol
_atom_site_fract_x
_atom_site_fract_y
_atom_site_fract_z
Zr1 Zr 0.000 0.000 0.000
Zr2 Zr 0.250 0.250 0.250
Be1 Be 0.750 0.750 0.750
Pb1 Pb 0.500 0.500 0.500
```

Output
**Total DFT energy (no corrections)**: -22.36 eV/cell
**Calculated volume**: 20.666 Å³/atom

---

First-principles (PBE) data for ZrBePb after structural relaxation, as listed in OQMD via LeMat-Bulk.

Geometry as CIF:
```
data_ZrBePb
_cell_length_a 4.670
_cell_length_b 4.670
_cell_length_c 4.670
_cell_angle_alpha 60.00
_cell_angle_beta 60.00
_cell_angle_gamma 60.00
_space_group_name_H-M_alt 'P 1'
_space_group_IT_number 1
_space_group_name_Hall 'P 1'
loop_
_atom_site_label
_atom_site_type_symbol
_atom_site_fract_x
_atom_site_fract_y
_atom_site_fract_z
Zr1 Zr 0.000 0.000 0.000
Be1 Be 0.750 0.750 0.750
Pb1 Pb 0.250 0.250 0.250
```

Output
**Energy above the lowest structure with this stoichiometry**: 0.000 eV/atom
**Calculated volume**: 24.013 Å³/atom